No. 1
The following is a PBE-GGA calculation of an optimized crystal structure of Cs2PaW2N7, from Alexandria.

Cell lengths 5.5387, 5.5453, 13.6388 Å; angles 90.00, 101.40, 90.00 degrees
Space group C2/m (No. 12)
Inequivalent atoms, fractional coordinates:
Cs 0.1885 0.0000 0.3742 [4 per cell]
Pa 0.0000 0.0000 0.0000 [2 per cell]
W 0.0921 0.5000 0.1651 [4 per cell]
N 0.0000 0.5000 0.0000 [2 per cell]
N 0.1536 0.5000 0.2992 [4 per cell]
N 0.1553 0.2406 0.8758 [8 per cell]

## Properties
E_form (uncorrected) = -405.9 kJ/mol of formula units
M_tot = 1.21 μB/f.u.
DOS(E_F) = 10.03 states/eV per cell
calculated volume = 410.6 Å³ per cell
E_tot = -199.19 eV/cell

No. 2
The following is a PBE-GGA calculation of an optimized crystal structure of Li4Hf3NiS8, from Alexandria.

Cell lengths 7.2013, 7.2013, 18.4008 Å; angles 90.00, 90.00, 120.00 degrees
Space group R-3m (No. 166, hexagonal axes)
Inequivalent atoms, fractional coordinates:
Li 0.0000 0.0000 0.0000 [3 per cell]
Li 0.0000 0.5000 0.0000 [9 per cell]
Hf 0.0000 0.5000 0.5000 [9 per cell]
Ni 0.0000 0.0000 0.5000 [3 per cell]
S 0.0000 0.0000 0.2490 [6 per cell]
S 0.0048 0.5024 0.2461 [18 per cell]

## Properties
E_form (uncorrected) = -2051.9 kJ/mol of formula units
M_tot = 1.36 μB/f.u.
DOS(E_F) = 21.14 states/eV per cell
calculated volume = 826.5 Å³ per cell
E_tot = -292.75 eV/cell

No. 3
The following is a PBE-GGA calculation of an optimized crystal structure of LiHo2Rh, from Alexandria.

Cell lengths 4.8325, 4.8325, 3.6036 Å; angles 90.00, 90.00, 90.00 degrees
Space group P4/mmm (No. 123)
Inequivalent atoms, fractional coordinates:
Li 0.0000 0.0000 0.0000 [1 per cell]
Ho 0.0000 0.5000 0.5000 [2 per cell]
Rh 0.5000 0.5000 0.0000 [1 per cell]

## Properties
M_tot = 0.00 μB/f.u.
DOS(E_F) = 3.28 states/eV per cell
energy relative to the elements = -0.427 eV per atom
calculated volume = 84.2 Å³ per cell
E_tot = -20.13 eV/cell

No. 4
The following is a PBE-GGA calculation of an optimized crystal structure of ScMo, from Alexandria.

Cell lengths 10.3212, 3.2456, 7.2054 Å; angles 90.00, 109.29, 90.00 degrees
Space group C2/m (No. 12)
Inequivalent atoms, fractional coordinates:
Sc 0.0000 0.0000 0.0000 [2 per cell]
Sc 0.1782 0.5000 0.7984 [4 per cell]
Mo 0.0000 0.0000 0.5000 [2 per cell]
Mo 0.1597 0.5000 0.3662 [4 per cell]

## Properties
M_tot = 0.00 μB/f.u.
DOS(E_F) = 14.27 states/eV per cell
energy relative to the elements = 0.087 eV per atom
energy above the most stable polymorph in this dataset = 111 meV per atom
calculated volume = 227.8 Å³ per cell
E_tot = -101.93 eV/cell

No. 5
The following is a PBE-GGA calculation of an optimized crystal structure of KYBr2Cl, from Alexandria.

Cell lengths 5.6750, 5.6750, 5.3294 Å; angles 90.00, 90.00, 90.00 degrees
Space group P4/mmm (No. 123)
Inequivalent atoms, fractional coordinates:
K 0.0000 0.0000 0.0000 [1 per cell]
Y 0.5000 0.5000 0.5000 [1 per cell]
Br 0.0000 0.5000 0.5000 [2 per cell]
Cl 0.5000 0.5000 0.0000 [1 per cell]

## Properties
E_form (uncorrected) = -790.5 kJ/mol of formula units
M_tot = 0.29 μB/f.u.
DOS(E_F) = 3.10 states/eV per cell
calculated volume = 171.6 Å³ per cell
E_tot = -20.95 eV/cell

No. 6
The following is a PBE-GGA calculation of an optimized crystal structure of TbThMgAu, from Alexandria.

Cell lengths 7.4750, 7.4750, 7.4750 Å; angles 90.00, 90.00, 90.00 degrees
Space group F-43m (No. 216)
Inequivalent atoms, fractional coordinates:
Tb 0.0000 0.0000 0.0000 [4 per cell]
Th 0.0000 0.0000 0.5000 [4 per cell]
Mg 0.2500 0.2500 0.2500 [4 per cell]
Au 0.2500 0.2500 0.7500 [4 per cell]

## Properties
M_tot = 0.69 μB/f.u.
DOS(E_F) = 15.37 states/eV per cell
energy relative to the elements = -0.251 eV per atom
calculated volume = 417.7 Å³ per cell
E_tot = -71.71 eV/cell